(1)
# LiAcGaIr, relaxed, DFT PBE-GGA
# Energy of formation   -545 meV per atom
# Raw total energy   -5.0224 eV/atom
# Magnetization   0.00 μB/cell
# Polymorph energy (0 for the lowest one)   0.0000 eV per atom
data_LiAcGaIr
_chemical_formula_sum 'Li3 Ac3 Ga3 Ir3'
_space_group_name_H-M_alt 'R 3 m'
_space_group_IT_number 160
_space_group_name_Hall 'R 3 -2"'
_cell_length_a 4.4326
_cell_length_b 4.4326
_cell_length_c 15.5005
_cell_angle_alpha 90.00
_cell_angle_beta 90.00
_cell_angle_gamma 120.00
loop_
_atom_site_label
_atom_site_fract_x
_atom_site_fract_y
_atom_site_fract_z
Li1 0.0000 0.0000 0.0000
Ac1 0.0000 0.0000 0.1924
Ga1 0.0000 0.0000 0.7138
Ir1 0.0000 0.0000 0.3993



(2)
# LiAc2Ga2Ir, relaxed, DFT PBE-GGA
# Energy of formation   -486 meV per atom
# Raw total energy   -4.6606 eV/atom
# Magnetization   0.00 μB/cell
data_LiAc2Ga2Ir
_chemical_formula_sum 'Li4 Ac8 Ga8 Ir4'
_space_group_name_H-M_alt 'I b a m'
_space_group_IT_number 72
_space_group_name_Hall '-I 2 2c'
_cell_length_a 6.344
_cell_length_b 14.843
_cell_length_c 6.308
_cell_angle_alpha 90.00
_cell_angle_beta 90.00
_cell_angle_gamma 90.00
loop_
_atom_site_label
_atom_site_fract_x
_atom_site_fract_y
_atom_site_fract_z
Li1 0.000 0.000 0.250
Ac1 0.242 0.341 0.000
Ga1 0.248 0.411 0.500
Ir1 0.000 0.500 0.250



(3)
# LiAcGaIr, relaxed, DFT PBE-GGA
# Energy of formation   -302 meV per atom
# Raw total energy   -4.7792 eV/atom
# Magnetization   0.00 μB/cell
# Polymorph energy (0 for the lowest one)   0.2431 eV per atom
data_LiAcGaIr
_chemical_formula_sum 'Li4 Ac4 Ga4 Ir4'
_space_group_name_H-M_alt 'F -4 3 m'
_space_group_IT_number 216
_space_group_name_Hall 'F -4 2 3'
_cell_length_a 6.930
_cell_length_b 6.930
_cell_length_c 6.930
_cell_angle_alpha 90.00
_cell_angle_beta 90.00
_cell_angle_gamma 90.00
loop_
_atom_site_label
_atom_site_fract_x
_atom_site_fract_y
_atom_site_fract_z
Li1 0.000 0.000 0.000
Ac1 0.250 0.250 0.750
Ga1 0.250 0.250 0.250
Ir1 0.000 0.000 0.500



(4)
# Li2AcGa4Ir, relaxed, DFT PBE-GGA
# Energy of formation   -446 meV per atom
# Raw total energy   -4.0589 eV/atom
# Magnetization   0.00 μB/cell
data_Li2AcGa4Ir
_chemical_formula_sum 'Li6 Ac3 Ga12 Ir3'
_space_group_name_H-M_alt 'R -3 m'
_space_group_IT_number 166
_space_group_name_Hall '-R 3 2"'
_cell_length_a 4.3064
_cell_length_b 4.3064
_cell_length_c 28.4752
_cell_angle_alpha 90.00
_cell_angle_beta 90.00
_cell_angle_gamma 120.00
loop_
_atom_site_label
_atom_site_fract_x
_atom_site_fract_y
_atom_site_fract_z
Li1 0.0000 0.0000 0.2253
Ac1 0.0000 0.0000 0.0000
Ga1 0.0000 0.0000 0.1312
Ga2 0.0000 0.0000 0.4091
Ir1 0.0000 0.0000 0.5000